1.
Computed, not measured: a relaxed structure of Ti6In3Pb at the GGA-PBE level of DFT.

Cell and atoms, written as extended XYZ:
```
10
Lattice="5.333 0.000 0.000 -1.778 6.721 0.000 -1.778 -3.360 5.820" Properties=species:S:1:pos:R:3 pbc="T T T"
Ti -0.204 -2.012 3.485
Ti -0.204 4.024 0.000
Ti -0.197 -0.766 1.327
Ti -0.197 1.532 0.000
Ti 1.581 2.594 4.493
Ti 1.574 1.348 2.335
In 2.512 3.271 0.000
In 2.512 -1.635 2.832
In -1.044 1.725 2.988
Pb 2.525 0.000 0.000
```

The value obtained for the density is 6.7 Mg/m³. For the volume, the calculation gives 20.9 Å³/atom. As for the space group: R3m. As for the total energy: -5.684 eV per atom.


2.
Computed, not measured: a relaxed structure of Ti2InPb at the GGA-PBE level of DFT.

Cell and atoms, written as extended XYZ:
```
4
Lattice="-0.583 -2.699 -3.210 0.802 -3.354 2.675 -4.248 -0.239 0.973" Properties=species:S:1:pos:R:3 pbc="T T T"
Pb -2.015 -3.147 0.219
Ti -2.124 -0.120 0.487
Ti 0.401 -1.677 1.338
In -0.292 -1.350 -1.605
```

The value obtained for the density is 8.6 Mg/m³. For the volume, the calculation gives 20.2 Å³/atom. As for the space group: P4/mmm. As for the total energy: -5.548 eV per atom.


3.
Computed, not measured: a relaxed structure of Ti6InPb2 at the GGA-PBE level of DFT.

Cell and atoms, written as extended XYZ:
```
9
Lattice="4.704 0.000 1.437 1.111 6.431 4.780 0.196 2.222 7.777" Properties=species:S:1:pos:R:3 pbc="T T T"
Ti 1.537 3.704 3.388
Ti 4.474 4.949 10.606
Ti 4.930 7.043 9.115
Ti 0.426 3.282 7.022
Ti 5.585 5.372 6.972
Ti 1.081 1.610 4.879
In 3.006 4.327 6.997
Pb 1.942 1.043 2.059
Pb 4.069 7.610 11.935
```

The value obtained for the density is 7.2 Mg/m³. For the volume, the calculation gives 20.8 Å³/atom. The calculation puts the distance to the lowest polymorph of the same formula at 0.2020 eV per atom. As for the space group: Immm.


4.
Computed, not measured: a relaxed structure of TiInPb2 at the GGA-PBE level of DFT.

Cell and atoms, written as extended XYZ:
```
4
Lattice="-2.267 -2.293 0.678 0.931 -3.088 0.677 0.231 0.899 11.813" Properties=species:S:1:pos:R:3 pbc="T T T"
Pb 0.065 0.241 9.035
Pb -1.171 -4.722 4.133
Ti 0.000 0.000 0.000
In -0.553 -2.241 6.584
```

The value obtained for the density is 8.7 Mg/m³. For the volume, the calculation gives 27.5 Å³/atom. As for the space group: R-3m. As for the total energy: -4.106 eV per atom.


5.
Computed, not measured: a relaxed structure of Ti2InPb at the GGA-PBE level of DFT.

Cell and atoms, written as extended XYZ:
```
4
Lattice="3.180 0.000 0.000 1.590 2.754 0.000 1.590 0.918 9.541" Properties=species:S:1:pos:R:3 pbc="T T T"
Pb 0.000 0.000 0.000
Ti 4.771 2.754 7.135
Ti 1.590 0.918 2.406
In 3.180 1.836 4.770
```

The value obtained for the density is 8.3 Mg/m³. For the volume, the calculation gives 20.9 Å³/atom. As for the space group: R-3m. As for the total energy: -5.458 eV per atom.


6.
Computed, not measured: a relaxed structure of TiInPb2 at the GGA-PBE level of DFT.

Cell and atoms, written as extended XYZ:
```
8
Lattice="-3.934 -4.216 6.138 3.508 -7.172 -2.678 2.183 -5.217 3.593" Properties=species:S:1:pos:R:3 pbc="T T T"
Pb -1.338 -4.690 4.187
Pb 2.111 -6.460 0.204
Pb 1.599 -8.432 3.899
Pb 1.144 -13.629 5.815
Ti -0.213 -5.694 1.730
Ti 2.739 -9.042 1.323
In 0.000 0.000 0.000
In -0.982 -7.563 5.730
```

The value obtained for the density is 8.8 Mg/m³. For the volume, the calculation gives 27.2 Å³/atom. As for the space group: I-42d. As for the total energy: -4.155 eV per atom.